Record 1
A plane-wave DFT calculation with PBE was carried out for a geometry-optimized Rb2Ta2Se5 structure.

Computed properties:
Magnetization ... 0.0 Bohr magnetons per cell
Theoretical density ... 4.9 g cm⁻³
E_tot ... -50.27 eV per cell
Raw formation energy ... -801 meV per atom
Space group ... C2/m, No. 12

Lattice parameters (Å, degrees): 7.8623 7.8623 8.5298 99.43 99.43 37.17
Closest atoms and distances in Å follow each position.
Atoms (fractional coordinates):
Rb  0.0763  0.0763  0.3102  5 Se 3.54-3.68
Rb  0.9237  0.9237  0.6898  5 Se 3.54-3.68
Ta  0.3548  0.3548  0.1008  5 Se 2.37-2.62
Ta  0.6452  0.6452  0.8992  5 Se 2.37-2.62
Se  0.1829  0.1829  0.9707  3 Ta 2.61-2.62
Se  0.3774  0.3774  0.3825  1 Ta 2.37
Se  0.5000  0.5000  0.0000  2 Ta 2.46
Se  0.6226  0.6226  0.6175  1 Ta 2.37
Se  0.8171  0.8171  0.0293  3 Ta 2.61-2.62

***

Record 2
A plane-wave DFT calculation with PBE was carried out for a geometry-optimized MnGe2Ir structure.

Computed properties:
Magnetization ... 4.7 Bohr magnetons per cell
Theoretical density ... 10.6 g cm⁻³
E_tot ... -55.24 eV per cell
Space group ... Cc, No. 9

Lattice parameters (Å, degrees): 6.0079 6.0079 5.1532 100.06 100.06 132.60
Closest atoms and distances in Å follow each position.
Atoms (fractional coordinates):
Mn  0.0099  0.9901  0.5000  5 Ge 2.48-2.69, 2 Mn 2.59, 1 Ir 2.68
Mn  0.9901  0.0099  0.0000  5 Ge 2.48-2.69, 2 Mn 2.59, 1 Ir 2.68
Ge  0.0632  0.6686  0.6930  2 Mn 2.49-2.69, 4 Ir 2.53-2.63
Ge  0.4397  0.5283  0.4692  3 Mn 2.48-2.56, 1 Ir 2.50, 2 Ge 2.75
Ge  0.5283  0.4397  0.9692  3 Mn 2.48-2.56, 1 Ir 2.50, 2 Ge 2.75
Ge  0.6686  0.0632  0.1930  2 Mn 2.49-2.69, 4 Ir 2.53-2.63
Ir  0.0737  0.6468  0.1811  5 Ge 2.50-2.63, 1 Mn 2.68, 2 Ir 2.78
Ir  0.6468  0.0737  0.6811  5 Ge 2.50-2.63, 1 Mn 2.68, 2 Ir 2.78